! CoSIN2 PBE optimized geometry; values from VASP
&SYSTEM
  ibrav = 0, nat = 5, ntyp = 4
/
ATOMIC_SPECIES
Co 58.93 Co.upf
S 32.06 S.upf
N 14.01 N.upf
I 126.90 I.upf
ATOMIC_POSITIONS crystal
Co 0.5000 0.5000 0.5000
S 0.0000 0.0000 0.0000
N 0.5000 0.0000 0.0000
N 0.0000 0.5000 0.0000
I 0.0000 0.0000 0.5000
CELL_PARAMETERS angstrom
3.5353 0.0000 0.0000
0.0000 3.5353 0.0000
0.0000 0.0000 7.6117
! Formation energy without anion corrections: 1.65 eV per atom
! Energy relative to the lowest polymorph listed for this composition: 390 meV/atom
! Magnetization: 2.19 μB/f.u.